[1]
# SrPt3 PBE-GGA optimized geometry
data_SrPt3
_chemical_formula_sum 'Sr1 Pt3'
_symmetry_space_group_name_H-M 'P 1 2/m 1'
_symmetry_Int_Tables_number 10
_symmetry_space_group_name_Hall '-P 2y'
_cell_length_a 3.007
_cell_length_b 4.762
_cell_length_c 5.493
_cell_angle_alpha 90.00
_cell_angle_beta 91.31
_cell_angle_gamma 90.00
loop_
_atom_site_label
_atom_site_type_symbol
_atom_site_fract_x
_atom_site_fract_y
_atom_site_fract_z
Sr1 Sr 0.000 0.000 0.000
Pt1 Pt 0.481 0.500 0.745
Pt2 Pt 0.500 0.000 0.500
# - raw total energy (eV/atom) = -5.188

***

[2]
# Sr3Pt PBE-GGA optimized geometry
data_Sr3Pt
_chemical_formula_sum 'Sr9 Pt3'
_symmetry_space_group_name_H-M 'R -3 m'
_symmetry_Int_Tables_number 166
_symmetry_space_group_name_Hall '-R 3 2"'
_cell_length_a 4.3439
_cell_length_b 4.3439
_cell_length_c 32.0005
_cell_angle_alpha 90.00
_cell_angle_beta 90.00
_cell_angle_gamma 120.00
loop_
_atom_site_label
_atom_site_type_symbol
_atom_site_fract_x
_atom_site_fract_y
_atom_site_fract_z
Sr1 Sr 0.0000 0.0000 0.0000
Sr2 Sr 0.0000 0.0000 0.2185
Pt1 Pt 0.0000 0.0000 0.5000
# - raw total energy (eV/atom) = -3.225

***

[3]
# Sr3Pt PBE-GGA optimized geometry
data_Sr3Pt
_chemical_formula_sum 'Sr3 Pt1'
_symmetry_space_group_name_H-M 'P 4/m m m'
_symmetry_Int_Tables_number 123
_symmetry_space_group_name_Hall '-P 4 2'
_cell_length_a 3.848
_cell_length_b 3.848
_cell_length_c 10.288
_cell_angle_alpha 90.00
_cell_angle_beta 90.00
_cell_angle_gamma 90.00
loop_
_atom_site_label
_atom_site_type_symbol
_atom_site_fract_x
_atom_site_fract_y
_atom_site_fract_z
Sr1 Sr 0.000 0.000 0.000
Sr2 Sr 0.500 0.500 0.332
Pt1 Pt 0.000 0.000 0.500
# - raw total energy (eV/atom) = -3.186

***

[4]
# Sr3Pt PBE-GGA optimized geometry
data_Sr3Pt
_chemical_formula_sum 'Sr6 Pt2'
_symmetry_space_group_name_H-M 'I m m 2'
_symmetry_Int_Tables_number 44
_symmetry_space_group_name_Hall 'I 2 -2'
_cell_length_a 4.120
_cell_length_b 11.157
_cell_length_c 7.127
_cell_angle_alpha 90.00
_cell_angle_beta 90.00
_cell_angle_gamma 90.00
loop_
_atom_site_label
_atom_site_type_symbol
_atom_site_fract_x
_atom_site_fract_y
_atom_site_fract_z
Sr1 Sr 0.000 0.000 0.000
Sr2 Sr 0.000 0.175 0.516
Pt1 Pt 0.000 0.500 0.192
# - raw total energy (eV/atom) = -3.214

***

[5]
# Sr3Pt PBE-GGA optimized geometry
data_Sr3Pt
_chemical_formula_sum 'Sr12 Pt4'
_symmetry_space_group_name_H-M 'F m -3 m'
_symmetry_Int_Tables_number 225
_symmetry_space_group_name_Hall '-F 4 2 3'
_cell_length_a 8.038
_cell_length_b 8.038
_cell_length_c 8.038
_cell_angle_alpha 90.00
_cell_angle_beta 90.00
_cell_angle_gamma 90.00
loop_
_atom_site_label
_atom_site_type_symbol
_atom_site_fract_x
_atom_site_fract_y
_atom_site_fract_z
Sr1 Sr 0.000 0.000 0.000
Sr2 Sr 0.250 0.250 0.250
Pt1 Pt 0.000 0.000 0.500
# - raw total energy (eV/atom) = -2.829

***

[6]
# SrPt3 PBE-GGA optimized geometry
data_SrPt3
_chemical_formula_sum 'Sr2 Pt6'
_symmetry_space_group_name_H-M 'I 4/m m m'
_symmetry_Int_Tables_number 139
_symmetry_space_group_name_Hall '-I 4 2'
_cell_length_a 4.234
_cell_length_b 4.234
_cell_length_c 8.513
_cell_angle_alpha 90.00
_cell_angle_beta 90.00
_cell_angle_gamma 90.00
loop_
_atom_site_label
_atom_site_type_symbol
_atom_site_fract_x
_atom_site_fract_y
_atom_site_fract_z
Sr1 Sr 0.000 0.000 0.000
Pt1 Pt 0.000 0.000 0.500
Pt2 Pt 0.000 0.500 0.250
# - raw total energy (eV/atom) = -5.163

***

[7]
# Sr3Pt5 PBE-GGA optimized geometry
data_Sr3Pt5
_chemical_formula_sum 'Sr6 Pt10'
_symmetry_space_group_name_H-M 'P 63/m c m'
_symmetry_Int_Tables_number 193
_symmetry_space_group_name_Hall '-P 6c 2'
_cell_length_a 9.7524
_cell_length_b 9.7524
_cell_length_c 4.8895
_cell_angle_alpha 90.00
_cell_angle_beta 90.00
_cell_angle_gamma 120.00
loop_
_atom_site_label
_atom_site_type_symbol
_atom_site_fract_x
_atom_site_fract_y
_atom_site_fract_z
Sr1 Sr 0.0000 0.3642 0.2500
Pt1 Pt 0.0000 0.1629 0.7500
Pt2 Pt 0.3333 0.6667 0.0000
# - raw total energy (eV/atom) = -4.848
# - energy above the most stable polymorph in this dataset (meV per atom) = 174

***

[8]
# SrPt3 PBE-GGA optimized geometry
data_SrPt3
_chemical_formula_sum 'Sr4 Pt12'
_symmetry_space_group_name_H-M 'P n m a'
_symmetry_Int_Tables_number 62
_symmetry_space_group_name_Hall '-P 2ac 2n'
_cell_length_a 8.017
_cell_length_b 7.335
_cell_length_c 5.731
_cell_angle_alpha 90.00
_cell_angle_beta 90.00
_cell_angle_gamma 90.00
loop_
_atom_site_label
_atom_site_type_symbol
_atom_site_fract_x
_atom_site_fract_y
_atom_site_fract_z
Sr1 Sr 0.029 0.250 0.123
Pt1 Pt 0.135 0.750 0.354
Pt2 Pt 0.154 0.061 0.585
# - raw total energy (eV/atom) = -5.492

***

[9]
# Sr3Pt PBE-GGA optimized geometry
data_Sr3Pt
_chemical_formula_sum 'Sr3 Pt1'
_symmetry_space_group_name_H-M 'P m m 2'
_symmetry_Int_Tables_number 25
_symmetry_space_group_name_Hall 'P 2 -2'
_cell_length_a 4.019
_cell_length_b 4.100
_cell_length_c 10.464
_cell_angle_alpha 90.00
_cell_angle_beta 90.00
_cell_angle_gamma 90.00
loop_
_atom_site_label
_atom_site_type_symbol
_atom_site_fract_x
_atom_site_fract_y
_atom_site_fract_z
Sr1 Sr 0.000 0.000 0.000
Sr2 Sr 0.000 0.500 0.325
Sr3 Sr 0.500 0.500 0.685
Pt1 Pt 0.500 0.000 0.214
# - raw total energy (eV/atom) = -3.084

***

[10]
# Sr7Pt PBE-GGA optimized geometry
data_Sr7Pt
_chemical_formula_sum 'Sr28 Pt4'
_symmetry_space_group_name_H-M 'F m -3 m'
_symmetry_Int_Tables_number 225
_symmetry_space_group_name_Hall '-F 4 2 3'
_cell_length_a 11.207
_cell_length_b 11.207
_cell_length_c 11.207
_cell_angle_alpha 90.00
_cell_angle_beta 90.00
_cell_angle_gamma 90.00
loop_
_atom_site_label
_atom_site_type_symbol
_atom_site_fract_x
_atom_site_fract_y
_atom_site_fract_z
Sr1 Sr 0.000 0.000 0.000
Sr2 Sr 0.000 0.250 0.250
Pt1 Pt 0.000 0.000 0.500
# - raw total energy (eV/atom) = -2.152

***

[11]
# Sr3Pt PBE-GGA optimized geometry
data_Sr3Pt
_chemical_formula_sum 'Sr3 Pt1'
_symmetry_space_group_name_H-M 'P m -3 m'
_symmetry_Int_Tables_number 221
_symmetry_space_group_name_Hall '-P 4 2 3'
_cell_length_a 5.998
_cell_length_b 5.998
_cell_length_c 5.998
_cell_angle_alpha 90.00
_cell_angle_beta 90.00
_cell_angle_gamma 90.00
loop_
_atom_site_label
_atom_site_type_symbol
_atom_site_fract_x
_atom_site_fract_y
_atom_site_fract_z
Sr1 Sr 0.000 0.000 0.500
Pt1 Pt 0.000 0.000 0.000
# - raw total energy (eV/atom) = -3.169

***

[12]
# Sr3Pt2 PBE-GGA optimized geometry
data_Sr3Pt2
_chemical_formula_sum 'Sr3 Pt2'
_symmetry_space_group_name_H-M 'P -3 m 1'
_symmetry_Int_Tables_number 164
_symmetry_space_group_name_Hall '-P 3 2"'
_cell_length_a 5.2139
_cell_length_b 5.2139
_cell_length_c 6.4289
_cell_angle_alpha 90.00
_cell_angle_beta 90.00
_cell_angle_gamma 120.00
loop_
_atom_site_label
_atom_site_type_symbol
_atom_site_fract_x
_atom_site_fract_y
_atom_site_fract_z
Sr1 Sr 0.0000 0.0000 0.0000
Sr2 Sr 0.3333 0.6667 0.3286
Pt1 Pt 0.3333 0.6667 0.8282
# - raw total energy (eV/atom) = -4.135
# - energy above the most stable polymorph in this dataset (meV per atom) = 55

***

E_form, record by record: -237; -453; -415; -443; -57; -212; -442; -541; -312; 75; -398; -710 meV/atom